Below is a geometry-optimized NpCd2RuO6 structure, with properties calculated at the GGA-PBE level.

Properties
As for the density: 8.524 g/cm3. As for the crystal system: monoclinic. Its formation energy (no corrections) is -1603 meV/atom.

Cell lengths 5.5995, 5.6804, 8.0708 Å; angles 90.00, 90.25, 90.00 degrees
Last column: nearest neighbours and their distance in Å.
Fractional positions:
1 O 0.6072 0.0467 0.2420  1 Ru 2.06, 1 Np 2.19, 1 Cd 2.30
2 Ru 0.5000 0.0000 0.0000  6 O 2.04-2.06
3 Ru 0.0000 0.5000 0.5000  6 O 2.04-2.06
4 O 0.3120 0.7033 0.0572  1 Ru 2.04, 1 Np 2.14
5 Cd 0.0075 0.9577 0.2495  4 O 2.30-2.42
6 O 0.8928 0.5467 0.2580  1 Ru 2.06, 1 Np 2.19, 1 Cd 2.30
7 Np 0.0000 0.5000 0.0000  6 O 2.14-2.19
8 O 0.6880 0.2967 0.9428  1 Ru 2.04, 1 Np 2.14
9 O 0.6995 0.3115 0.5559  1 Ru 2.05, 1 Np 2.14
10 O 0.3928 0.9533 0.7580  1 Ru 2.06, 1 Np 2.19, 1 Cd 2.30
11 Np 0.5000 0.0000 0.5000  6 O 2.14-2.19
12 O 0.1880 0.2033 0.4428  1 Ru 2.04, 1 Np 2.14
13 O 0.3005 0.6885 0.4441  1 Ru 2.05, 1 Np 2.14
14 Cd 0.4925 0.4577 0.2505  4 O 2.30-2.42
15 O 0.8005 0.8115 0.9441  1 Ru 2.05, 1 Np 2.14
16 O 0.1072 0.4533 0.7420  1 Ru 2.06, 1 Np 2.19, 1 Cd 2.30
17 Cd 0.5075 0.5423 0.7495  4 O 2.30-2.42
18 Cd 0.9925 0.0423 0.7505  4 O 2.30-2.42
19 O 0.8120 0.7967 0.5572  1 Ru 2.04, 1 Np 2.14
20 O 0.1995 0.1885 0.0559  1 Ru 2.05, 1 Np 2.14